Material: Cd3GaAs
Method: DFT, GGA-PBE
State: optimized geometry

abc: 5.310 5.310 5.310
angles: 90.00 90.00 90.00
Sites, in units of the cell vectors:
Cd: 0.000 0.000 0.500
Cd: 0.000 0.500 0.000
Cd: 0.500 0.000 0.000
Ga: 0.500 0.500 0.500
As: 0.000 0.000 0.000

Computed properties:
Energy relative to the elements ... 8.8 kcal/mol of atoms
N(E_F) ... 2.199 states/eV/f.u.
Energy above the most stable polymorph in this dataset ... 0.0 meV/atom
SG ... No. 221
M_tot ... 0.000 μB/f.u.

Material: Y2Rh2Au
Method: DFT, GGA-PBE
State: optimized geometry

abc: 8.229 8.229 8.229
angles: 153.55 153.55 37.75
Sites, in units of the cell vectors:
Y: 0.113 0.113 0.000
Y: 0.887 0.887 0.000
Rh: 0.250 0.750 0.500
Rh: 0.750 0.250 0.500
Au: 0.500 0.500 0.000

Computed properties:
Energy relative to the elements ... -11.8 kcal/mol of atoms
N(E_F) ... 5.863 states/eV/f.u.
Energy above the most stable polymorph in this dataset ... 282.1 meV/atom
SG ... No. 139
M_tot ... 0.000 μB/f.u.

Material: Ba6Li2Ir
Method: DFT, GGA-PBE
State: optimized geometry

abc: 8.116 9.198 14.478
angles: 90.00 123.40 90.00
Sites, in units of the cell vectors:
Ba: 0.135 0.171 0.452
Ba: 0.135 0.329 0.952
Ba: 0.288 0.706 0.450
Ba: 0.288 0.794 0.950
Ba: 0.364 0.023 0.257
Ba: 0.364 0.477 0.757
Ba: 0.636 0.523 0.243
Ba: 0.636 0.977 0.743
Ba: 0.712 0.206 0.050
Ba: 0.712 0.294 0.550
Ba: 0.865 0.671 0.048
Ba: 0.865 0.829 0.548
Li: 0.200 0.099 0.756
Li: 0.200 0.401 0.256
Li: 0.800 0.599 0.744
Li: 0.800 0.901 0.244
Ir: 0.500 0.000 0.500
Ir: 0.500 0.500 0.000

Computed properties:
Energy relative to the elements ... -1.8 kcal/mol of atoms
N(E_F) ... 7.296 states/eV/f.u.
SG ... No. 14
M_tot ... 0.000 μB/f.u.

Q: The highest N(E_F) belongs to which entry?
A: Ba6Li2Ir